# YCd2Pd2 PBE optimized geometry
# **Density of states at the Fermi level**: 3.2 states/eV/f.u.
# **Excess energy over the best structure of this formula in the dataset**: 51 meV per atom
data_YCd2Pd2
_symmetry_space_group_name_H-M 'P 4/m b m'
_symmetry_Int_Tables_number 127
_symmetry_space_group_name_Hall '-P 4 2ab'
_cell_length_a 7.343
_cell_length_b 7.343
_cell_length_c 3.819
_cell_angle_alpha 90.00
_cell_angle_beta 90.00
_cell_angle_gamma 90.00
loop_
_atom_site_label
_atom_site_type_symbol
_atom_site_fract_x
_atom_site_fract_y
_atom_site_fract_z
Y1 Y 0.000 0.000 0.000
Cd1 Cd 0.157 0.343 0.500
Pd1 Pd 0.137 0.637 0.000

---

# YCd3Pd2 PBE optimized geometry
# **Final energy**: -3.753 eV/atom
# **Density of states at the Fermi level**: 2.2 states/eV/f.u.
data_YCd3Pd2
_symmetry_space_group_name_H-M 'P m c 21'
_symmetry_Int_Tables_number 26
_symmetry_space_group_name_Hall 'P 2c -2'
_cell_length_a 3.938
_cell_length_b 8.860
_cell_length_c 7.228
_cell_angle_alpha 90.00
_cell_angle_beta 90.00
_cell_angle_gamma 90.00
loop_
_atom_site_label
_atom_site_type_symbol
_atom_site_fract_x
_atom_site_fract_y
_atom_site_fract_z
Y1 Y 0.000 0.093 0.000
Cd1 Cd 0.000 0.316 0.599
Cd2 Cd 0.500 0.191 0.329
Cd3 Cd 0.500 0.418 0.918
Pd1 Pd 0.000 0.390 0.211
Pd2 Pd 0.500 0.106 0.709

---

# YCdPd PBE optimized geometry
# **Final energy**: -4.086 eV/atom
# **Density of states at the Fermi level**: 1.8 states/eV/f.u.
data_YCdPd
_symmetry_space_group_name_H-M 'I 4 m m'
_symmetry_Int_Tables_number 107
_symmetry_space_group_name_Hall 'I 4 -2'
_cell_length_a 3.133
_cell_length_b 3.133
_cell_length_c 15.126
_cell_angle_alpha 90.00
_cell_angle_beta 90.00
_cell_angle_gamma 90.00
loop_
_atom_site_label
_atom_site_type_symbol
_atom_site_fract_x
_atom_site_fract_y
_atom_site_fract_z
Y1 Y 0.000 0.000 0.000
Cd1 Cd 0.000 0.000 0.211
Pd1 Pd 0.000 0.000 0.827

---

# Y2Cd2Pd3 PBE optimized geometry
# **Final energy**: -5.021 eV/atom
# **Density of states at the Fermi level**: 3.2 states/eV/f.u.
data_Y2Cd2Pd3
_symmetry_space_group_name_H-M 'C 1 2/m 1'
_symmetry_Int_Tables_number 12
_symmetry_space_group_name_Hall '-C 2y'
_cell_length_a 9.818
_cell_length_b 4.284
_cell_length_c 7.336
_cell_angle_alpha 90.00
_cell_angle_beta 106.18
_cell_angle_gamma 90.00
loop_
_atom_site_label
_atom_site_type_symbol
_atom_site_fract_x
_atom_site_fract_y
_atom_site_fract_z
Y1 Y 0.129 0.000 0.307
Cd1 Cd 0.125 0.500 0.931
Pd1 Pd 0.000 0.500 0.500
Pd2 Pd 0.171 0.000 0.709

---

# YCd4Pd15 PBE optimized geometry
# **Final energy**: -4.758 eV/atom
# **Density of states at the Fermi level**: 24.4 states/eV/f.u.
data_YCd4Pd15
_symmetry_space_group_name_H-M 'P 4/m m m'
_symmetry_Int_Tables_number 123
_symmetry_space_group_name_Hall '-P 4 2'
_cell_length_a 4.071
_cell_length_b 4.071
_cell_length_c 20.211
_cell_angle_alpha 90.00
_cell_angle_beta 90.00
_cell_angle_gamma 90.00
loop_
_atom_site_label
_atom_site_type_symbol
_atom_site_fract_x
_atom_site_fract_y
_atom_site_fract_z
Y1 Y 0.000 0.000 0.000
Cd1 Cd 0.000 0.000 0.204
Cd2 Cd 0.000 0.000 0.401
Pd1 Pd 0.000 0.500 0.104
Pd2 Pd 0.000 0.500 0.303
Pd3 Pd 0.000 0.500 0.500
Pd4 Pd 0.500 0.500 0.000
Pd5 Pd 0.500 0.500 0.203
Pd6 Pd 0.500 0.500 0.402

---

# Y3Cd3Pd2 PBE optimized geometry
# **Final energy**: -4.700 eV/atom
# **Density of states at the Fermi level**: 4.5 states/eV/f.u.
data_Y3Cd3Pd2
_symmetry_space_group_name_H-M 'P -6 2 m'
_symmetry_Int_Tables_number 189
_symmetry_space_group_name_Hall 'P -6 -2'
_cell_length_a 7.6130
_cell_length_b 7.6130
_cell_length_c 3.7419
_cell_angle_alpha 90.00
_cell_angle_beta 90.00
_cell_angle_gamma 120.00
loop_
_atom_site_label
_atom_site_type_symbol
_atom_site_fract_x
_atom_site_fract_y
_atom_site_fract_z
Y1 Y 0.0000 0.4165 0.0000
Cd1 Cd 0.0000 0.7700 0.5000
Pd1 Pd 0.3333 0.6667 0.5000

---

# Y2CdPd8 PBE optimized geometry
# **Final energy**: -5.600 eV/atom
# **Density of states at the Fermi level**: 3.9 states/eV/f.u.
data_Y2CdPd8
_symmetry_space_group_name_H-M 'C 1 2/m 1'
_symmetry_Int_Tables_number 12
_symmetry_space_group_name_Hall '-C 2y'
_cell_length_a 14.670
_cell_length_b 4.240
_cell_length_c 6.586
_cell_angle_alpha 90.00
_cell_angle_beta 107.62
_cell_angle_gamma 90.00
loop_
_atom_site_label
_atom_site_type_symbol
_atom_site_fract_x
_atom_site_fract_y
_atom_site_fract_z
Y1 Y 0.216 0.000 0.166
Cd1 Cd 0.000 0.500 0.500
Pd1 Pd 0.035 0.000 0.222
Pd2 Pd 0.090 0.500 0.946
Pd3 Pd 0.142 0.000 0.680
Pd4 Pd 0.171 0.500 0.402

---

# Y3Cd2Pd8 PBE optimized geometry
# **Final energy**: -5.348 eV/atom
# **Density of states at the Fermi level**: 5.0 states/eV/f.u.
data_Y3Cd2Pd8
_symmetry_space_group_name_H-M 'R -3 m'
_symmetry_Int_Tables_number 166
_symmetry_space_group_name_Hall '-R 3 2"'
_cell_length_a 5.4056
_cell_length_b 5.4056
_cell_length_c 30.6577
_cell_angle_alpha 90.00
_cell_angle_beta 90.00
_cell_angle_gamma 120.00
loop_
_atom_site_label
_atom_site_type_symbol
_atom_site_fract_x
_atom_site_fract_y
_atom_site_fract_z
Y1 Y 0.0000 0.0000 0.0000
Y2 Y 0.0000 0.0000 0.1894
Cd1 Cd 0.0000 0.0000 0.3651
Pd1 Pd 0.0000 0.0000 0.2800
Pd2 Pd 0.0031 0.5015 0.7712

---

# Y2CdPd6 PBE optimized geometry
# **Final energy**: -5.446 eV/atom
# **Density of states at the Fermi level**: 3.8 states/eV/f.u.
data_Y2CdPd6
_symmetry_space_group_name_H-M 'I m m m'
_symmetry_Int_Tables_number 71
_symmetry_space_group_name_Hall '-I 2 2'
_cell_length_a 3.712
_cell_length_b 8.300
_cell_length_c 12.314
_cell_angle_alpha 90.00
_cell_angle_beta 90.00
_cell_angle_gamma 90.00
loop_
_atom_site_label
_atom_site_type_symbol
_atom_site_fract_x
_atom_site_fract_y
_atom_site_fract_z
Y1 Y 0.000 0.000 0.160
Cd1 Cd 0.000 0.000 0.500
Pd1 Pd 0.000 0.237 0.335
Pd2 Pd 0.000 0.250 0.000

---

# Y4CdPd7 PBE optimized geometry
# **Final energy**: -5.905 eV/atom
# **Density of states at the Fermi level**: 6.2 states/eV/f.u.
data_Y4CdPd7
_symmetry_space_group_name_H-M 'C 1 2/m 1'
_symmetry_Int_Tables_number 12
_symmetry_space_group_name_Hall '-C 2y'
_cell_length_a 10.772
_cell_length_b 5.229
_cell_length_c 10.428
_cell_angle_alpha 90.00
_cell_angle_beta 119.37
_cell_angle_gamma 90.00
loop_
_atom_site_label
_atom_site_type_symbol
_atom_site_fract_x
_atom_site_fract_y
_atom_site_fract_z
Y1 Y 0.095 0.000 0.288
Y2 Y 0.210 0.500 0.133
Cd1 Cd 0.000 0.500 0.500
Pd1 Pd 0.000 0.000 0.500
Pd2 Pd 0.077 0.500 0.811
Pd3 Pd 0.131 0.000 0.019
Pd4 Pd 0.211 0.500 0.405

---

# YCd11Pd PBE optimized geometry
# **Final energy**: -1.824 eV/atom
# **Density of states at the Fermi level**: 5.3 states/eV/f.u.
data_YCd11Pd
_symmetry_space_group_name_H-M 'C 1 2/m 1'
_symmetry_Int_Tables_number 12
_symmetry_space_group_name_Hall '-C 2y'
_cell_length_a 5.772
_cell_length_b 14.121
_cell_length_c 7.578
_cell_angle_alpha 90.00
_cell_angle_beta 112.29
_cell_angle_gamma 90.00
loop_
_atom_site_label
_atom_site_type_symbol
_atom_site_fract_x
_atom_site_fract_y
_atom_site_fract_z
Y1 Y 0.000 0.000 0.000
Cd1 Cd 0.000 0.500 0.500
Cd2 Cd 0.116 0.396 0.214
Cd3 Cd 0.165 0.170 0.355
Cd4 Cd 0.250 0.250 0.000
Pd1 Pd 0.000 0.000 0.500

---

# Y4CdPd15 PBE optimized geometry
# **Final energy**: -5.957 eV/atom
# **Density of states at the Fermi level**: 18.9 states/eV/f.u.
data_Y4CdPd15
_symmetry_space_group_name_H-M 'P 4/m m m'
_symmetry_Int_Tables_number 123
_symmetry_space_group_name_Hall '-P 4 2'
_cell_length_a 4.107
_cell_length_b 4.107
_cell_length_c 20.614
_cell_angle_alpha 90.00
_cell_angle_beta 90.00
_cell_angle_gamma 90.00
loop_
_atom_site_label
_atom_site_type_symbol
_atom_site_fract_x
_atom_site_fract_y
_atom_site_fract_z
Y1 Y 0.000 0.000 0.101
Y2 Y 0.000 0.000 0.304
Cd1 Cd 0.000 0.000 0.500
Pd1 Pd 0.000 0.500 0.000
Pd2 Pd 0.000 0.500 0.202
Pd3 Pd 0.000 0.500 0.403
Pd4 Pd 0.500 0.500 0.101
Pd5 Pd 0.500 0.500 0.302
Pd6 Pd 0.500 0.500 0.500

---

# YCd9Pd3 PBE optimized geometry
# **Final energy**: -2.616 eV/atom
# **Density of states at the Fermi level**: 7.8 states/eV/f.u.
data_YCd9Pd3
_symmetry_space_group_name_H-M 'C 1 2/m 1'
_symmetry_Int_Tables_number 12
_symmetry_space_group_name_Hall '-C 2y'
_cell_length_a 5.667
_cell_length_b 13.757
_cell_length_c 7.424
_cell_angle_alpha 90.00
_cell_angle_beta 111.59
_cell_angle_gamma 90.00
loop_
_atom_site_label
_atom_site_type_symbol
_atom_site_fract_x
_atom_site_fract_y
_atom_site_fract_z
Y1 Y 0.000 0.000 0.000
Cd1 Cd 0.000 0.500 0.500
Cd2 Cd 0.109 0.391 0.210
Cd3 Cd 0.154 0.174 0.333
Pd1 Pd 0.000 0.000 0.500
Pd2 Pd 0.250 0.250 0.000

---

# YCdPd PBE optimized geometry
# **Final energy**: -4.867 eV/atom
# **Density of states at the Fermi level**: 2.3 states/eV/f.u.
data_YCdPd
_symmetry_space_group_name_H-M 'P m m a'
_symmetry_Int_Tables_number 51
_symmetry_space_group_name_Hall '-P 2a 2a'
_cell_length_a 13.347
_cell_length_b 3.847
_cell_length_c 7.775
_cell_angle_alpha 90.00
_cell_angle_beta 90.00
_cell_angle_gamma 90.00
loop_
_atom_site_label
_atom_site_type_symbol
_atom_site_fract_x
_atom_site_fract_y
_atom_site_fract_z
Y1 Y 0.047 0.000 0.231
Y2 Y 0.250 0.000 0.828
Cd1 Cd 0.110 0.500 0.564
Cd2 Cd 0.250 0.500 0.188
Pd1 Pd 0.097 0.500 0.936
Pd2 Pd 0.250 0.000 0.446

---

# Y2CdPd4 PBE optimized geometry
# **Density of states at the Fermi level**: 3.0 states/eV/f.u.
# **Excess energy over the best structure of this formula in the dataset**: 0 meV per atom
data_Y2CdPd4
_symmetry_space_group_name_H-M 'C 1 2/m 1'
_symmetry_Int_Tables_number 12
_symmetry_space_group_name_Hall '-C 2y'
_cell_length_a 8.963
_cell_length_b 4.332
_cell_length_c 8.246
_cell_angle_alpha 90.00
_cell_angle_beta 116.28
_cell_angle_gamma 90.00
loop_
_atom_site_label
_atom_site_type_symbol
_atom_site_fract_x
_atom_site_fract_y
_atom_site_fract_z
Y1 Y 0.026 0.000 0.230
Cd1 Cd 0.000 0.500 0.500
Pd1 Pd 0.223 0.500 0.883
Pd2 Pd 0.233 0.000 0.629

---

# YCd3Pd2 PBE optimized geometry
# **Final energy**: -3.732 eV/atom
# **Density of states at the Fermi level**: 3.2 states/eV/f.u.
data_YCd3Pd2
_symmetry_space_group_name_H-M 'C 1 2/m 1'
_symmetry_Int_Tables_number 12
_symmetry_space_group_name_Hall '-C 2y'
_cell_length_a 16.746
_cell_length_b 3.930
_cell_length_c 9.474
_cell_angle_alpha 90.00
_cell_angle_beta 124.40
_cell_angle_gamma 90.00
loop_
_atom_site_label
_atom_site_type_symbol
_atom_site_fract_x
_atom_site_fract_y
_atom_site_fract_z
Y1 Y 0.133 0.000 0.133
Cd1 Cd 0.001 0.000 0.649
Cd2 Cd 0.173 0.500 0.464
Cd3 Cd 0.173 0.500 0.882
Pd1 Pd 0.000 0.500 0.142
Pd2 Pd 0.200 0.000 0.699

---

# YCd3Pd3 PBE optimized geometry
# **Final energy**: -3.285 eV/atom
# **Density of states at the Fermi level**: 3.4 states/eV/f.u.
data_YCd3Pd3
_symmetry_space_group_name_H-M 'P m -3 n'
_symmetry_Int_Tables_number 223
_symmetry_space_group_name_Hall '-P 4n 2 3'
_cell_length_a 7.260
_cell_length_b 7.260
_cell_length_c 7.260
_cell_angle_alpha 90.00
_cell_angle_beta 90.00
_cell_angle_gamma 90.00
loop_
_atom_site_label
_atom_site_type_symbol
_atom_site_fract_x
_atom_site_fract_y
_atom_site_fract_z
Y1 Y 0.000 0.000 0.000
Cd1 Cd 0.000 0.250 0.500
Pd1 Pd 0.000 0.500 0.250

---

# YCdPd PBE optimized geometry
# **Final energy**: -4.806 eV/atom
# **Density of states at the Fermi level**: 1.6 states/eV/f.u.
data_YCdPd
_symmetry_space_group_name_H-M 'C 1 2/m 1'
_symmetry_Int_Tables_number 12
_symmetry_space_group_name_Hall '-C 2y'
_cell_length_a 10.625
_cell_length_b 4.768
_cell_length_c 5.319
_cell_angle_alpha 90.00
_cell_angle_beta 97.69
_cell_angle_gamma 90.00
loop_
_atom_site_label
_atom_site_type_symbol
_atom_site_fract_x
_atom_site_fract_y
_atom_site_fract_z
Y1 Y 0.126 0.000 0.302
Cd1 Cd 0.076 0.500 0.757
Pd1 Pd 0.223 0.000 0.827

---

# Y2Cd3Pd2 PBE optimized geometry
# **Density of states at the Fermi level**: 2.7 states/eV/f.u.
# **Excess energy over the best structure of this formula in the dataset**: 33 meV per atom
data_Y2Cd3Pd2
_symmetry_space_group_name_H-M 'C 1 2/m 1'
_symmetry_Int_Tables_number 12
_symmetry_space_group_name_Hall '-C 2y'
_cell_length_a 10.225
_cell_length_b 3.957
_cell_length_c 7.768
_cell_angle_alpha 90.00
_cell_angle_beta 94.63
_cell_angle_gamma 90.00
loop_
_atom_site_label
_atom_site_type_symbol
_atom_site_fract_x
_atom_site_fract_y
_atom_site_fract_z
Y1 Y 0.122 0.000 0.350
Cd1 Cd 0.000 0.500 0.000
Cd2 Cd 0.192 0.000 0.869
Pd1 Pd 0.093 0.500 0.638

---

# Y11Cd9Pd4 PBE optimized geometry
# **Final energy**: -4.726 eV/atom
# **Density of states at the Fermi level**: 21.6 states/eV/f.u.
data_Y11Cd9Pd4
_symmetry_space_group_name_H-M 'C m m m'
_symmetry_Int_Tables_number 65
_symmetry_space_group_name_Hall '-C 2 2'
_cell_length_a 14.663
_cell_length_b 22.072
_cell_length_c 3.653
_cell_angle_alpha 90.00
_cell_angle_beta 90.00
_cell_angle_gamma 90.00
loop_
_atom_site_label
_atom_site_type_symbol
_atom_site_fract_x
_atom_site_fract_y
_atom_site_fract_z
Y1 Y 0.000 0.000 0.000
Y2 Y 0.000 0.163 0.000
Y3 Y 0.000 0.370 0.000
Y4 Y 0.197 0.500 0.000
Y5 Y 0.244 0.170 0.000
Cd1 Cd 0.000 0.500 0.500
Cd2 Cd 0.105 0.262 0.500
Cd3 Cd 0.143 0.072 0.500
Pd1 Pd 0.150 0.400 0.500